# BeCuB (GGA-PBE, relaxed)
# Volume (Å³/atom): 9.21
# VASP energy (eV per atom): -4.559
# Energy relative to the elements (eV/atom): 0.2745
# Space group: P1, No. 1
# Magnetic moment (μB/f.u.): 0.000
data_BeCuB
_chemical_formula_sum 'Be2 Cu2 B2'
_symmetry_space_group_name_H-M 'P 1'
_symmetry_Int_Tables_number 1
_symmetry_space_group_name_Hall 'P 1'
_cell_length_a 3.279
_cell_length_b 3.377
_cell_length_c 7.342
_cell_angle_alpha 99.30
_cell_angle_beta 84.51
_cell_angle_gamma 46.04
loop_
_atom_site_label
_atom_site_type_symbol
_atom_site_fract_x
_atom_site_fract_y
_atom_site_fract_z
Cu1 Cu 0.363 0.173 0.353
Cu2 Cu 0.367 0.582 0.100
Be1 Be 0.536 0.825 0.628
Be2 Be 0.275 0.086 0.919
B1 B 0.906 0.026 0.526
B2 B 0.692 0.260 0.774

=====

# Nd2DySn3Pt4 (GGA-PBE, relaxed)
# Volume (Å³/atom): 23.56
# VASP energy (eV per atom): -5.939
# Energy relative to the elements (eV/atom): -0.9082
# Space group: P-4m2, No. 115
# Magnetic moment (μB/f.u.): 0.000
data_Nd2DySn3Pt4
_chemical_formula_sum 'Nd2 Dy1 Sn3 Pt4'
_symmetry_space_group_name_H-M 'P 1'
_symmetry_Int_Tables_number 1
_symmetry_space_group_name_Hall 'P 1'
_cell_length_a 4.598
_cell_length_b 4.598
_cell_length_c 11.146
_cell_angle_alpha 90.00
_cell_angle_beta 90.00
_cell_angle_gamma 90.00
loop_
_atom_site_label
_atom_site_type_symbol
_atom_site_fract_x
_atom_site_fract_y
_atom_site_fract_z
Nd1 Nd 0.500 0.000 0.218
Nd2 Nd 0.000 0.500 0.782
Dy1 Dy 0.500 0.500 0.500
Sn1 Sn 0.000 0.000 0.500
Sn2 Sn 0.500 0.000 0.875
Sn3 Sn 0.000 0.500 0.125
Pt1 Pt 0.500 0.500 0.000
Pt2 Pt 0.000 0.000 0.000
Pt3 Pt 0.500 0.000 0.642
Pt4 Pt 0.000 0.500 0.358

=====

# RbCdNi2Mo (GGA-PBE, relaxed)
# Volume (Å³/atom): 27.83
# VASP energy (eV per atom): -3.023
# Energy relative to the elements (eV/atom): 1.8324
# Space group: P4/mmm, No. 123
# Magnetic moment (μB/f.u.): 4.922
data_RbCdNi2Mo
_chemical_formula_sum 'Rb1 Cd1 Ni2 Mo1'
_symmetry_space_group_name_H-M 'P 1'
_symmetry_Int_Tables_number 1
_symmetry_space_group_name_Hall 'P 1'
_cell_length_a 4.911
_cell_length_b 5.771
_cell_length_c 4.911
_cell_angle_alpha 90.00
_cell_angle_beta 90.00
_cell_angle_gamma 90.00
loop_
_atom_site_label
_atom_site_type_symbol
_atom_site_fract_x
_atom_site_fract_y
_atom_site_fract_z
Ni1 Ni 0.000 0.000 0.500
Ni2 Ni 0.500 0.000 0.000
Mo1 Mo 0.500 0.500 0.500
Rb1 Rb 0.000 0.500 0.000
Cd1 Cd 0.000 0.000 0.000

=====

# Pr2NdYHo2 (GGA-PBE, relaxed)
# Volume (Å³/atom): 33.58
# VASP energy (eV per atom): -4.932
# Energy relative to the elements (eV/atom): 0.0589
# Space group: Pmc2_1, No. 26
# Magnetic moment (μB/f.u.): 0.000
data_Pr2NdYHo2
_chemical_formula_sum 'Pr4 Nd2 Y2 Ho4'
_symmetry_space_group_name_H-M 'P 1'
_symmetry_Int_Tables_number 1
_symmetry_space_group_name_Hall 'P 1'
_cell_length_a 5.721
_cell_length_b 7.116
_cell_length_c 9.899
_cell_angle_alpha 90.00
_cell_angle_beta 90.00
_cell_angle_gamma 90.00
loop_
_atom_site_label
_atom_site_type_symbol
_atom_site_fract_x
_atom_site_fract_y
_atom_site_fract_z
Pr1 Pr 0.500 0.007 0.000
Pr2 Pr 0.000 0.257 0.175
Pr3 Pr 0.500 0.507 0.000
Pr4 Pr 0.000 0.757 0.825
Nd1 Nd 0.500 0.258 0.660
Nd2 Nd 0.500 0.758 0.340
Y1 Y 0.000 0.008 0.500
Y2 Y 0.000 0.508 0.500
Ho1 Ho 0.000 0.257 0.835
Ho2 Ho 0.500 0.258 0.332
Ho3 Ho 0.000 0.757 0.165
Ho4 Ho 0.500 0.758 0.668

=====

# RuOF3 (GGA-PBE, relaxed)
# ΔE to the lowest computed polymorph (meV per atom): 0
# Volume (Å³/atom): 15.19
# VASP energy (eV per atom): -5.283
# Space group: Imma, No. 74
# Magnetic moment (μB/f.u.): 2.046
# Uncorrected formation energy (meV per atom): -1314
data_RuOF3
_chemical_formula_sum 'Ru2 O2 F6'
_symmetry_space_group_name_H-M 'P 1'
_symmetry_Int_Tables_number 1
_symmetry_space_group_name_Hall 'P 1'
_cell_length_a 6.182
_cell_length_b 5.900
_cell_length_c 5.900
_cell_angle_alpha 83.89
_cell_angle_beta 58.41
_cell_angle_gamma 58.41
loop_
_atom_site_label
_atom_site_type_symbol
_atom_site_fract_x
_atom_site_fract_y
_atom_site_fract_z
Ru1 Ru 0.032 0.000 0.500
Ru2 Ru 0.532 0.000 0.500
O1 O 0.603 0.179 0.679
O2 O 0.461 0.821 0.321
F1 F 0.532 0.761 0.739
F2 F 0.532 0.239 0.261
F3 F 0.032 0.761 0.739
F4 F 0.069 0.213 0.713
F5 F 0.032 0.239 0.261
F6 F 0.995 0.787 0.287

=====

# BaY2Mn (GGA-PBE, relaxed)
# ΔE to the lowest computed polymorph (meV per atom): 352
# Volume (Å³/atom): 32.49
# VASP energy (eV per atom): -5.442
# Energy relative to the elements (eV/atom): 0.5628
# Space group: C2/m, No. 12
# Magnetic moment (μB/f.u.): 3.214
data_BaY2Mn
_chemical_formula_sum 'Ba1 Y2 Mn1'
_symmetry_space_group_name_H-M 'P 1'
_symmetry_Int_Tables_number 1
_symmetry_space_group_name_Hall 'P 1'
_cell_length_a 6.111
_cell_length_b 6.937
_cell_length_c 3.541
_cell_angle_alpha 76.38
_cell_angle_beta 87.43
_cell_angle_gamma 115.40
loop_
_atom_site_label
_atom_site_type_symbol
_atom_site_fract_x
_atom_site_fract_y
_atom_site_fract_z
Ba1 Ba 0.000 0.500 0.500
Mn1 Mn 0.500 0.500 0.000
Y1 Y 0.000 0.000 0.000
Y2 Y 0.500 0.000 0.500

=====

# CaSbSI2 (GGA-PBE, relaxed)
# ΔE to the lowest computed polymorph (meV per atom): 287
# Volume (Å³/atom): 44.54
# VASP energy (eV per atom): -2.487
# Space group: P4/mmm, No. 123
# Magnetic moment (μB/f.u.): 0.427
# Uncorrected formation energy (meV per atom): 184
data_CaSbSI2
_chemical_formula_sum 'Ca1 Sb1 S1 I2'
_symmetry_space_group_name_H-M 'P 1'
_symmetry_Int_Tables_number 1
_symmetry_space_group_name_Hall 'P 1'
_cell_length_a 5.846
_cell_length_b 5.846
_cell_length_c 6.516
_cell_angle_alpha 90.00
_cell_angle_beta 90.00
_cell_angle_gamma 90.00
loop_
_atom_site_label
_atom_site_type_symbol
_atom_site_fract_x
_atom_site_fract_y
_atom_site_fract_z
I1 I 0.000 0.500 0.000
I2 I 0.500 0.000 0.000
Sb1 Sb 0.000 0.000 0.500
Ca1 Ca 0.000 0.000 0.000
S1 S 0.500 0.500 0.500

=====

# SrAcMgAg (GGA-PBE, relaxed)
# ΔE to the lowest computed polymorph (meV per atom): 0
# Volume (Å³/atom): 33.12
# VASP energy (eV per atom): -2.721
# Energy relative to the elements (eV/atom): -0.1624
# Space group: P4mm, No. 99
# Magnetic moment (μB/f.u.): 0.087
data_SrAcMgAg
_chemical_formula_sum 'Sr1 Ac1 Mg1 Ag1'
_symmetry_space_group_name_H-M 'P 1'
_symmetry_Int_Tables_number 1
_symmetry_space_group_name_Hall 'P 1'
_cell_length_a 4.021
_cell_length_b 4.021
_cell_length_c 8.195
_cell_angle_alpha 90.00
_cell_angle_beta 90.00
_cell_angle_gamma 90.00
loop_
_atom_site_label
_atom_site_type_symbol
_atom_site_fract_x
_atom_site_fract_y
_atom_site_fract_z
Sr1 Sr 0.000 0.000 0.372
Ac1 Ac 0.000 0.000 0.840
Mg1 Mg 0.500 0.500 0.104
Ag1 Ag 0.500 0.500 0.612

=====

# NaCeHo4S8 (GGA-PBE, relaxed)
# Volume (Å³/atom): 27.09
# VASP energy (eV per atom): -6.110
# Space group: R3m, No. 160
# Magnetic moment (μB/f.u.): 0.992
# Uncorrected formation energy (meV per atom): -1926
data_NaCeHo4S8
_chemical_formula_sum 'Na1 Ce1 Ho4 S8'
_symmetry_space_group_name_H-M 'P 1'
_symmetry_Int_Tables_number 1
_symmetry_space_group_name_Hall 'P 1'
_cell_length_a 8.065
_cell_length_b 8.065
_cell_length_c 8.187
_cell_angle_alpha 60.49
_cell_angle_beta 60.49
_cell_angle_gamma 60.00
loop_
_atom_site_label
_atom_site_type_symbol
_atom_site_fract_x
_atom_site_fract_y
_atom_site_fract_z
Na1 Na 0.373 0.373 0.880
Ce1 Ce 0.003 0.003 0.990
Ho1 Ho 0.626 0.626 0.121
Ho2 Ho 0.005 0.487 0.504
Ho3 Ho 0.487 0.005 0.504
Ho4 Ho 0.005 0.005 0.504
S1 S 0.244 0.783 0.729
S2 S 0.783 0.244 0.729
S3 S 0.244 0.244 0.729
S4 S 0.238 0.238 0.285
S5 S 0.752 0.230 0.266
S6 S 0.230 0.752 0.266
S7 S 0.752 0.752 0.266
S8 S 0.758 0.758 0.726

=====

# CsMgV (GGA-PBE, relaxed)
# ΔE to the lowest computed polymorph (meV per atom): 53
# Volume (Å³/atom): 45.98
# VASP energy (eV per atom): -3.307
# Energy relative to the elements (eV/atom): 0.5488
# Space group: P1, No. 1
# Magnetic moment (μB/f.u.): 0.000
data_CsMgV
_chemical_formula_sum 'Cs2 Mg2 V2'
_symmetry_space_group_name_H-M 'P 1'
_symmetry_Int_Tables_number 1
_symmetry_space_group_name_Hall 'P 1'
_cell_length_a 4.995
_cell_length_b 4.996
_cell_length_c 13.044
_cell_angle_alpha 80.23
_cell_angle_beta 91.10
_cell_angle_gamma 60.05
loop_
_atom_site_label
_atom_site_type_symbol
_atom_site_fract_x
_atom_site_fract_y
_atom_site_fract_z
Cs1 Cs 0.927 0.069 0.404
Cs2 Cs 0.707 0.448 0.791
Mg1 Mg 0.815 0.257 0.098
Mg2 Mg 0.149 0.591 0.097
V1 V 0.508 0.879 0.170
V2 V 0.456 0.970 0.025

=====

# Ba3Mg (GGA-PBE, relaxed)
# ΔE to the lowest computed polymorph (meV per atom): 103
# Volume (Å³/atom): 54.86
# VASP energy (eV per atom): -1.752
# Energy relative to the elements (eV/atom): 0.0887
# Space group: R-3m, No. 166
# Magnetic moment (μB/f.u.): 0.455
data_Ba3Mg
_chemical_formula_sum 'Ba3 Mg1'
_symmetry_space_group_name_H-M 'P 1'
_symmetry_Int_Tables_number 1
_symmetry_space_group_name_Hall 'P 1'
_cell_length_a 13.400
_cell_length_b 13.400
_cell_length_c 13.400
_cell_angle_alpha 18.85
_cell_angle_beta 18.85
_cell_angle_gamma 18.85
loop_
_atom_site_label
_atom_site_type_symbol
_atom_site_fract_x
_atom_site_fract_y
_atom_site_fract_z
Ba1 Ba 0.013 0.013 0.013
Ba2 Ba 0.250 0.250 0.250
Ba3 Ba 0.487 0.487 0.487
Mg1 Mg 0.750 0.750 0.750

=====

# VIr2Pt (GGA-PBE, relaxed)
# Volume (Å³/atom): 16.03
# VASP energy (eV per atom): -8.076
# Energy relative to the elements (eV/atom): 0.1445
# Space group: I-42d, No. 122
# Magnetic moment (μB/f.u.): 0.000
data_VIr2Pt
_chemical_formula_sum 'V2 Ir4 Pt2'
_symmetry_space_group_name_H-M 'P 1'
_symmetry_Int_Tables_number 1
_symmetry_space_group_name_Hall 'P 1'
_cell_length_a 7.023
_cell_length_b 7.023
_cell_length_c 5.605
_cell_angle_alpha 51.21
_cell_angle_beta 51.21
_cell_angle_gamma 90.00
loop_
_atom_site_label
_atom_site_type_symbol
_atom_site_fract_x
_atom_site_fract_y
_atom_site_fract_z
Ir1 Ir 0.583 0.125 0.250
Ir2 Ir 0.167 0.625 0.250
Ir3 Ir 0.375 0.417 0.750
Ir4 Ir 0.875 0.833 0.750
Pt1 Pt 0.000 0.000 0.000
Pt2 Pt 0.750 0.250 0.500
V1 V 0.500 0.500 0.000
V2 V 0.250 0.750 0.500

=====

Number 1: N(E_F) 1.13 states/eV per cell. Number 2: N(E_F) 7.45 states/eV per cell. Number 3: N(E_F) 2.28 states/eV per cell. Number 4: N(E_F) 19.14 states/eV per cell. Number 5: N(E_F) 3.36 states/eV per cell. Number 6: N(E_F) 6.47 states/eV per cell. Number 7: N(E_F) 4.54 states/eV per cell. Number 8: N(E_F) 3.36 states/eV per cell. Number 9: N(E_F) 4.16 states/eV per cell. Number 10: N(E_F) 5.75 states/eV per cell. Number 11: N(E_F) 5.95 states/eV per cell. Number 12: N(E_F) 10.12 states/eV per cell.